# Ca2Si4Pd3Au

Ca2Si4Pd3Au after structural relaxation (PBE-GGA, the Alexandria database).

The value obtained for the density of states at the Fermi level is 3.6 states/eV per cell. The total moment comes out at 0.00 μB per cell. Its calculated volume is 181.6 Å³ per cell. Its raw total energy is -5.124 eV per atom. The value obtained for the energy relative to the elements, uncorrected is -668.8 meV per atom.

a b c (Å): 4.232 4.232 10.138
angles (deg): 90.00 90.00 90.00
Space group P-4m2 (No. 115)
One atom of each set of equivalent atoms:
Ca  0.000  0.500  0.245 (multiplicity 2)
Si  0.000  0.000  0.000 (multiplicity 1)
Si  0.000  0.500  0.634 (multiplicity 2)
Si  0.500  0.500  0.000 (multiplicity 1)
Pd  0.000  0.500  0.875 (multiplicity 2)
Pd  0.500  0.500  0.500 (multiplicity 1)
Au  0.000  0.000  0.500 (multiplicity 1)